A geometry-optimized Sn3WO structure, computed with GGA+U.

POSCAR file:
```
Sn3WO
1.0
5.302 0.000 0.000
0.000 5.302 0.000
0.000 0.000 5.302
Sn W O
3 1 1
direct
0.500 0.000 0.000
0.000 0.000 0.500
0.000 0.500 0.000
0.000 0.000 0.000
0.500 0.500 0.500
```

Computed properties:
Offset from the most stable computed form, meV/atom: 613
Raw total energy, Ha/atom: -0.1462
SG: Pm-3m
Density of states at the Fermi level, states/eV per atom: 0.707